Entry from the Alexandria database: a geometry-optimized Sm4YHo4 structure (PBE-GGA).

Cell: 10.7405 10.7405 5.0501 Å, 90.00 90.00 90.00°
Last column: nearest neighbours and their distance in Å.
Space group I4/mmm (No. 139)
Unique sites:
Sm 0.0000 0.3320 0.0000  1 Y 3.57, 6 Ho 3.57-3.58, 5 Sm 3.59-3.61
Y 0.0000 0.0000 0.0000  4 Sm 3.57, 8 Ho 3.57
Ho 0.1666 0.1666 0.5000  6 Sm 3.57-3.58, 2 Y 3.57, 4 Ho 3.58

- D(E_F) (states/eV/f.u.) = 13.44
- offset from the most stable computed form (meV per atom) = 0
- formation energy (eV/atom) = 0.02
- total moment (μB/cell) = 0.00

=====

Entry from the Alexandria database: a geometry-optimized Ca2TlAs structure (PBE-GGA).

Cell: 7.6535 7.6535 7.6535 Å, 90.00 90.00 90.00°
Last column: nearest neighbours and their distance in Å.
Space group F-43m (No. 216)
Unique sites:
Ca 0.0000 0.0000 0.0000  4 Tl 3.31, 4 Ca 3.31
Ca 0.2500 0.2500 0.2500  4 As 3.31, 4 Ca 3.31
Tl 0.2500 0.2500 0.7500  4 As 3.31, 4 Ca 3.31
As 0.0000 0.0000 0.5000  4 Tl 3.31, 4 Ca 3.31

- D(E_F) (states/eV/f.u.) = 1.69
- offset from the most stable computed form (meV per atom) = 497
- formation energy (eV/atom) = -0.22
- total moment (μB/cell) = 0.00

=====

Entry from the Alexandria database: a geometry-optimized CoNi2Os structure (PBE-GGA).

Cell: 6.4550 6.4550 4.9414 Å, 90.00 90.00 90.00°
Last column: nearest neighbours and their distance in Å.
Space group I-42d (No. 122)
Unique sites:
Co 0.0000 0.0000 0.0000  4 Ni 2.31, 2 Os 2.47
Ni 0.2376 0.7500 0.1250  2 Co 2.31, 2 Os 2.42, 2 Ni 2.48
Os 0.0000 0.0000 0.5000  4 Ni 2.42, 2 Co 2.47

- D(E_F) (states/eV/f.u.) = 6.41
- offset from the most stable computed form (meV per atom) = 624
- formation energy (eV/atom) = 0.72
- total moment (μB/cell) = 12.92

=====

Entry from the Alexandria database: a geometry-optimized MgTl2Au structure (PBE-GGA).

Cell: 4.4951 4.4951 9.4893 Å, 90.00 90.00 90.00°
Last column: nearest neighbours and their distance in Å.
Space group I-4m2 (No. 119)
Unique sites:
Mg 0.0000 0.0000 0.0000  8 Tl 3.18-3.27, 4 Au 3.27
Tl 0.0000 0.0000 0.5000  4 Mg 3.18, 4 Tl 3.27, 4 Au 3.27
Tl 0.0000 0.5000 0.7500  4 Au 3.18, 4 Tl 3.27, 4 Mg 3.27
Au 0.0000 0.5000 0.2500  8 Tl 3.18-3.27, 4 Mg 3.27

- D(E_F) (states/eV/f.u.) = 1.11
- offset from the most stable computed form (meV per atom) = 124
- formation energy (eV/atom) = -0.04
- total moment (μB/cell) = 0.00

=====

Entry from the Alexandria database: a geometry-optimized LiHf8N8O4 structure (PBE-GGA).

Cell: 5.3959 5.4549 10.5378 Å, 76.27 75.25 60.62°
Last column: nearest neighbours and their distance in Å.
Space group P1 (No. 1)
Unique sites:
Li 0.0000 0.0000 0.0000  4 N 2.11-2.29, 2 O 2.22-2.28
Hf 0.0245 0.1010 0.7595  4 N 2.11-2.28, 2 O 2.15-2.18
Hf 0.1262 0.1930 0.4618  1 O 2.06, 3 N 2.10-2.29
Hf 0.2830 0.3213 0.0366  3 N 2.10-2.24, 2 O 2.10-2.28
Hf 0.3562 0.4716 0.7214  4 N 2.05-2.24, 1 O 2.20
Hf 0.4967 0.6039 0.2768  4 N 2.05-2.28, 1 O 2.18
Hf 0.6357 0.6721 0.9633  3 N 2.05-2.20, 1 O 2.17
Hf 0.7728 0.8066 0.5400  4 N 2.03-2.26, 1 O 2.15
Hf 0.8570 0.9467 0.2413  4 N 2.10-2.28, 2 O 2.13-2.15
N 0.0487 0.3594 0.8797  4 Hf 2.15-2.24, 1 Li 2.16
N 0.0803 0.8364 0.6197  3 Hf 2.05-2.17
N 0.1238 0.5950 0.3807  4 Hf 2.05-2.22
N 0.2818 0.9349 0.1255  4 Hf 2.10-2.33, 1 Li 2.11
N 0.3289 0.6961 0.8722  3 Hf 2.05-2.28, 1 Li 2.16
N 0.5253 0.8878 0.3785  4 Hf 2.10-2.26
N 0.6095 0.3300 0.1176  4 Hf 2.17-2.28, 1 Li 2.29
N 0.7734 0.4308 0.6250  3 Hf 2.03-2.14
O 0.3820 0.1470 0.6214  4 Hf 2.15-2.33
O 0.6597 0.0670 0.8868  3 Hf 2.15-2.28, 1 Li 2.28
O 0.8221 0.2159 0.3689  3 Hf 2.06-2.18
O 0.9065 0.6528 0.1211  2 Hf 2.10-2.15, 1 Li 2.22

- D(E_F) (states/eV/f.u.) = 4.62
- uncorrected formation energy (eV per atom) = -2.039
- offset from the most stable computed form (meV per atom) = 0
- total moment (μB/cell) = 0.00

=====

Entry from the Alexandria database: a geometry-optimized NiTe2Cl structure (PBE-GGA).

Cell: 6.4271 6.4271 11.6381 Å, 90.00 90.00 90.00°
Last column: nearest neighbours and their distance in Å.
Space group I-42d (No. 122)
Unique sites:
Ni 0.0000 0.0000 0.0000  4 Te 2.41
Te 0.1644 0.2500 0.1250  2 Ni 2.41
Cl 0.0000 0.0000 0.5000  4 Te 3.06

- D(E_F) (states/eV/f.u.) = 3.71
- uncorrected formation energy (eV per atom) = 0.038
- total moment (μB/cell) = 0.00

=====

Entry from the Alexandria database: a geometry-optimized Pr6Sm3DyTm2 structure (PBE-GGA).

Cell: 6.3275 10.9613 11.9499 Å, 90.00 100.14 90.00°
Last column: nearest neighbours and their distance in Å.
Space group C2/m (No. 12)
Unique sites:
Pr 0.2490 0.0000 0.2464  1 Dy 3.58, 2 Tm 3.59, 6 Pr 3.65-3.66, 3 Sm 3.65
Pr 0.2504 0.1669 0.7535  2 Tm 3.58-3.59, 1 Dy 3.59, 3 Sm 3.65, 6 Pr 3.65-3.66
Sm 0.0000 0.0000 0.5000  6 Pr 3.65, 6 Sm 3.65
Sm 0.0000 0.3333 0.5000  6 Pr 3.65, 6 Sm 3.65
Dy 0.0000 0.5000 0.0000  6 Pr 3.58-3.59, 6 Tm 3.65
Tm 0.0000 0.1666 0.0000  6 Pr 3.58-3.59, 3 Tm 3.65, 3 Dy 3.65

- D(E_F) (states/eV/f.u.) = 14.00
- formation energy (eV/atom) = 0.01
- total moment (μB/cell) = 0.00

=====

Entry from the Alexandria database: a geometry-optimized ThZrCdTc structure (PBE-GGA).

Cell: 7.1267 7.1267 7.1267 Å, 90.00 90.00 90.00°
Last column: nearest neighbours and their distance in Å.
Space group F-43m (No. 216)
Unique sites:
Th 0.0000 0.0000 0.0000  4 Cd 3.09, 4 Tc 3.09
Zr 0.0000 0.0000 0.5000  4 Cd 3.09, 4 Tc 3.09
Cd 0.2500 0.2500 0.2500  4 Zr 3.09, 4 Th 3.09
Tc 0.2500 0.2500 0.7500  4 Zr 3.09, 4 Th 3.09

- D(E_F) (states/eV/f.u.) = 4.20
- formation energy (eV/atom) = 0.02
- total moment (μB/cell) = 0.00

=====

Entry from the Alexandria database: a geometry-optimized La5Ga2Sb structure (PBE-GGA).

Cell: 8.5475 8.5475 13.4489 Å, 90.00 90.00 90.00°
Last column: nearest neighbours and their distance in Å.
Space group I4/mcm (No. 140)
Unique sites:
La 0.0000 0.0000 0.0000  4 Ga 3.33, 2 Sb 3.36
La 0.1638 0.3362 0.1462  3 Ga 3.14-3.22, 1 La 3.48, 2 Sb 3.49
Ga 0.1334 0.3666 0.5000  8 La 3.14-3.33, 1 Ga 3.23
Sb 0.0000 0.0000 0.2500  10 La 3.36-3.49

- D(E_F) (states/eV/f.u.) = 8.81
- uncorrected formation energy (eV per atom) = -0.650
- total moment (μB/cell) = 0.00

=====

Entry from the Alexandria database: a geometry-optimized Ca2LaTe3 structure (PBE-GGA).

Cell: 4.5177 6.4352 13.6363 Å, 90.00 90.00 90.00°
Last column: nearest neighbours and their distance in Å.
Space group Immm (No. 71)
Unique sites:
Ca 0.0000 0.0000 0.1664  6 Te 3.16-3.22
La 0.0000 0.0000 0.5000  6 Te 3.22-3.25
Te 0.0000 0.5000 0.1711  4 Ca 3.16-3.22, 2 La 3.25
Te 0.0000 0.5000 0.5000  4 Ca 3.20, 2 La 3.22

- D(E_F) (states/eV/f.u.) = 2.35
- uncorrected formation energy (eV per atom) = -1.595
- offset from the most stable computed form (meV per atom) = 3
- total moment (μB/cell) = 0.00

=====

Entry from the Alexandria database: a geometry-optimized NdYAgPd structure (PBE-GGA).

Cell: 3.6181 3.6181 7.3500 Å, 90.00 90.00 90.00°
Last column: nearest neighbours and their distance in Å.
Space group P4mm (No. 99)
Unique sites:
Nd 0.0000 0.0000 0.0000  4 Pd 3.17, 4 Ag 3.27, 1 Y 3.51
Y 0.0000 0.0000 0.4775  4 Pd 3.04, 4 Ag 3.13
Ag 0.5000 0.5000 0.7232  4 Y 3.13, 4 Nd 3.27, 1 Pd 3.45
Pd 0.5000 0.5000 0.2543  4 Y 3.04, 4 Nd 3.17

- D(E_F) (states/eV/f.u.) = 4.02
- offset from the most stable computed form (meV per atom) = 0
- formation energy (eV/atom) = -0.54
- total moment (μB/cell) = 0.00

=====

Entry from the Alexandria database: a geometry-optimized RbBeBr2 structure (PBE-GGA).

Cell: 4.9436 5.1857 6.6600 Å, 105.02 108.43 90.30°
Last column: nearest neighbours and their distance in Å.
Space group P1 (No. 1)
Unique sites:
Rb 0.0000 0.0000 0.0000  7 Br 3.58-3.77, 1 Be 3.59
Be 0.6557 0.7289 0.4179  2 Br 2.14-2.16
Br 0.2964 0.8219 0.5342  1 Be 2.16
Br 0.5365 0.5184 0.0762  1 Be 2.14

- D(E_F) (states/eV/f.u.) = 0.75
- uncorrected formation energy (eV per atom) = -0.701
- offset from the most stable computed form (meV per atom) = 4
- total moment (μB/cell) = 0.00

=====

Number 1: VASP energy -4.830 eV/atom. Number 2: VASP energy -2.973 eV/atom. Number 3: VASP energy -6.751 eV/atom. Number 4: VASP energy -2.445 eV/atom. Number 5: VASP energy -10.038 eV/atom. Number 6: VASP energy -3.440 eV/atom. Number 7: VASP energy -4.684 eV/atom. Number 8: VASP energy -6.790 eV/atom. Number 9: VASP energy -5.001 eV/atom. Number 10: VASP energy -4.654 eV/atom. Number 11: VASP energy -5.363 eV/atom. Number 12: VASP energy -2.711 eV/atom.